Entry 1:
PdBrO2 (PBE-GGA, relaxed); crystal system = orthorhombic
1.0
6.1526 0.0000 0.0000
0.0000 3.1542 0.0000
0.0000 0.0000 14.8153
Pd Br O
4 4 8
direct
0.0809 0.2500 0.1037
0.4191 0.7500 0.6037
0.5809 0.2500 0.3963
0.9191 0.7500 0.8963
0.0710 0.7500 0.3899
0.4290 0.2500 0.8899
0.5710 0.7500 0.1101
0.9290 0.2500 0.6101
0.1097 0.2500 0.9354
0.2400 0.2500 0.6491
0.2600 0.7500 0.1491
0.3903 0.7500 0.4354
0.6097 0.2500 0.5646
0.7400 0.2500 0.8509
0.7600 0.7500 0.3509
0.8903 0.7500 0.0646

Entry 2:
Pd2BrO (PBE-GGA, relaxed); crystal system = cubic; offset from the most stable computed form = 0.446 eV/atom
1.0
0.0000 3.0845 3.0845
3.0845 0.0000 3.0845
3.0845 3.0845 0.0000
Pd Br O
2 1 1
direct
0.2500 0.2500 0.2500
0.7500 0.7500 0.7500
0.0000 0.0000 0.0000
0.5000 0.5000 0.5000

Entry 3:
PdBrO2 (PBE-GGA, relaxed); crystal system = triclinic
1.0
3.3122 0.0000 0.0000
-0.0084 6.2318 0.0000
-1.6536 -1.8816 6.3920
Pd Br O
2 2 4
direct
0.0000 0.0000 0.0000
0.2471 0.8152 0.4949
0.0809 0.4300 0.1601
0.9015 0.5538 0.8048
0.4070 0.0178 0.8139
0.5875 0.9271 0.1753
0.6982 0.9881 0.3964
0.7764 0.6405 0.5544

Entry 4:
PdBrO2 (PBE-GGA, relaxed); crystal system = trigonal
1.0
1.6017 0.9247 6.9589
-1.6017 0.9247 6.9589
0.0000 -1.8495 6.9589
Pd Br O
1 1 2
direct
0.0000 0.0000 0.0000
0.5105 0.5105 0.5105
0.0888 0.0888 0.0888
0.6010 0.6010 0.6010

Entry 5:
Pd2BrO (PBE-GGA, relaxed); crystal system = tetragonal; offset from the most stable computed form = 0.000 eV/atom
1.0
-2.5585 2.5585 6.0399
2.5585 -2.5585 6.0399
2.5585 2.5585 -6.0399
Pd Br O
4 2 2
direct
0.3750 0.2124 0.3374
0.7876 0.1250 0.1626
0.8750 0.0376 0.6626
0.9624 0.6250 0.8374
0.2500 0.7500 0.5000
0.5000 0.5000 0.0000
0.0000 0.0000 0.0000
0.7500 0.2500 0.5000

Entry 6:
PdBrO2 (PBE-GGA, relaxed); crystal system = orthorhombic
1.0
1.4140 -11.1480 0.0000
1.4140 11.1480 0.0000
0.0000 0.0000 3.9668
Pd Br O
2 2 4
direct
0.0540 0.9460 0.7500
0.9460 0.0540 0.2500
0.3343 0.6657 0.7500
0.6657 0.3343 0.2500
0.0367 0.9633 0.2500
0.1427 0.8573 0.7500
0.8573 0.1427 0.2500
0.9633 0.0367 0.7500

no.,formation energy without anion corrections (eV per atom),magnetic moment (μB per atom)
1,-0.0452,0.00
2,0.4317,0.00
3,-0.0356,0.00
4,0.4487,0.21
5,-0.0139,0.00
6,0.2014,0.00